This record from Alexandria via LeMat-Bulk describes a relaxed structure of Li2Be2H7. The functional is PBE-GGA.

a = 4.405 Å, b = 4.807 Å, c = 4.807 Å
α = 118.26°, β = 94.14°, γ = 94.14°
Element x y z (fractional)
Li 0.500 0.298 0.702
Li 0.500 0.702 0.298
Be 0.141 0.710 0.710
Be 0.859 0.290 0.290
H 0.289 0.627 0.924
H 0.711 0.076 0.373
H 0.711 0.373 0.076
H 0.289 0.924 0.627
H 0.191 0.397 0.397
H 0.000 0.000 0.000
H 0.809 0.603 0.603

**Symmetry**: C2/m, No. 12
**E_tot**: -0.2364 Ry per atom
**Crystal system**: monoclinic